{
  "formula": "Li3BiS3",
  "functional": "GGA-PBEsol",
  "state": "relaxed",
  "lattice": [[-3.706, 5.647, -0.153], [-1.554, -3.339, -5.664], [-2.551, -3.703, 5.042]],
  "species": ["Li", "Li", "Li", "Li", "Li", "Li", "S", "S", "S", "S", "S", "S", "Bi", "Bi"],
  "frac_coords": [[0.981, 0.598, 0.203], [0.703, 0.098, 0.481], [0.098, 0.481, 0.703], [0.203, 0.981, 0.598], [0.481, 0.703, 0.098], [0.598, 0.203, 0.981], [0.797, 0.776, 0.428], [0.297, 0.928, 0.276], [0.928, 0.276, 0.297], [0.428, 0.797, 0.776], [0.276, 0.297, 0.928], [0.776, 0.428, 0.797], [0.001, 0.001, 0.001], [0.501, 0.501, 0.501]],
  "magnetic_moment_mub_per_fu": 0.00,
  "volume_a3_per_fu": 133.2,
  "de_polymorph_ev_per_atom": 0.025
}